A relaxed structure of MgNiIr2, computed with PBE.

As for the total magnetization: 0.00 μB per formula unit. Its volume is 249.9 Å³/cell. The formation energy comes out at 0.31 eV/atom. The total energy comes out at -5.965 eV per atom.

abc: 3.740 3.740 17.864
angles: 90.00 90.00 90.00
Space group I-42d (No. 122)
Asymmetric unit:
Mg1 0.000 0.000 0.000 (multiplicity 4)
Ni1 0.000 0.000 0.500 (multiplicity 4)
Ir1 0.228 0.250 0.625 (multiplicity 8)

A relaxed structure of MgNi2Ir, computed with PBE.

As for the total magnetization: 0.00 μB per formula unit. Its volume is 105.7 Å³/cell. The formation energy comes out at -0.10 eV/atom. The total energy comes out at -5.609 eV per atom.

abc: 4.145 2.672 9.546
angles: 90.00 90.00 90.00
Space group Amm2 (No. 38)
Asymmetric unit:
Mg1 0.000 0.000 0.000 (multiplicity 2)
Ni1 0.000 0.000 0.742 (multiplicity 2)
Ni2 0.500 0.000 0.603 (multiplicity 2)
Ir1 0.500 0.000 0.332 (multiplicity 2)

A relaxed structure of MgNiIr2, computed with PBE.

As for the total magnetization: 0.98 μB per formula unit. Its volume is 170.7 Å³/cell. The formation energy comes out at -0.03 eV/atom. The total energy comes out at -6.300 eV per atom.

abc: 2.7715 2.7715 25.6585
angles: 90.00 90.00 120.00
Space group R-3m (No. 166, hexagonal axes)
Asymmetric unit:
Mg1 0.0000 0.0000 0.0000 (multiplicity 3)
Ni1 0.0000 0.0000 0.5000 (multiplicity 3)
Ir1 0.0000 0.0000 0.2459 (multiplicity 6)